(1)
VASP calculation (PBE-GGA) on a relaxed structure of ZnSiRu2.

Computed properties:
**Space-group type**: No. 10

Unit cell a=3.668 b=2.850 c=5.577 alpha=71.59 beta=90.00 gamma=90.00
Positions (direct):
Zn 0.500 0.750 0.750
Si 0.500 0.250 0.250
Ru 0.000 0.118 0.020
Ru 0.000 0.382 0.480


(2)
VASP calculation (PBE-GGA) on a relaxed structure of ZnSi2Ru.

Computed properties:
**Space-group type**: No. 123

Unit cell a=2.863 b=2.863 c=7.203 alpha=90.00 beta=90.00 gamma=90.00
Positions (direct):
Zn 0.500 0.500 0.250
Si 0.000 0.000 0.538
Si 0.000 0.000 0.962
Ru 0.500 0.500 0.750


(3)
VASP calculation (PBE-GGA) on a relaxed structure of ZnSi2Ru.

Computed properties:
**Space-group type**: No. 44

Unit cell a=4.888 b=4.888 c=4.888 alpha=143.25 beta=127.35 gamma=65.93
Positions (direct):
Zn 0.507 0.507 0.000
Ru 0.235 0.735 0.500
Si 0.760 0.260 0.500
Si 0.998 0.998 0.000


(4)
VASP calculation (PBE-GGA) on a relaxed structure of Zn2SiRu.

Computed properties:
**Space-group type**: No. 10

Unit cell a=4.829 b=2.744 c=4.288 alpha=91.36 beta=90.00 gamma=90.00
Site moments in Bohr magnetons follow the coordinates.
Positions (direct):
Zn 0.000 0.512 0.498  0.00
Zn 0.000 0.988 0.002  0.00
Ru 0.500 0.250 0.250  0.33
Si 0.500 0.750 0.750  -0.01


(5)
VASP calculation (PBE-GGA) on a relaxed structure of ZnSiRu2.

Computed properties:
**Space-group type**: No. 35

Unit cell a=2.742 b=2.742 c=8.659 alpha=90.00 beta=90.00 gamma=117.80
Site moments in Bohr magnetons follow the coordinates.
Positions (direct):
Ru 0.500 0.500 0.263  0.06
Ru 0.000 0.000 0.002  0.46
Zn 0.500 0.500 0.750  0.00
Si 0.000 0.000 0.485  0.00


(6)
VASP calculation (PBE-GGA) on a relaxed structure of ZnSiRu2.

Computed properties:
**Space-group type**: No. 160

Unit cell a=8.493 b=8.493 c=8.493 alpha=18.91 beta=18.91 gamma=18.91
Positions (direct):
Ru 0.998 0.998 0.998
Ru 0.247 0.247 0.247
Zn 0.751 0.751 0.751
Si 0.505 0.505 0.505


Values of E_tot, in order: -6.569, -5.379, -5.306, -4.346, -6.060, -6.310, all in eV/atom.
Values of uncorrected formation energy, in order: -0.26, -0.03, 0.04, -0.03, 0.25, 0.00, all in eV per atom.